First-principles (PBE) data for a geometry-optimized Ac12Co6Ag structure, as listed in Alexandria.

Cell and atoms, written as extended XYZ:
```
19
Lattice="-5.302 5.302 5.302 5.302 -5.302 5.302 5.302 5.302 -5.302" Properties=species:S:1:pos:R:3 pbc="T T T"
Ac 5.302 3.305 -1.994
Ac 3.308 0.000 1.998
Ac 7.297 0.000 1.998
Ac 1.998 3.308 0.000
Ac 3.305 -1.994 5.302
Ac 0.000 1.998 3.308
Ac 5.302 3.305 1.994
Ac 1.998 7.297 0.000
Ac 3.305 1.994 5.302
Ac -1.994 5.302 3.305
Ac 1.994 5.302 3.305
Ac 0.000 1.998 7.297
Co 5.302 1.155 0.000
Co 5.302 0.000 4.148
Co 4.148 5.302 0.000
Co 1.155 0.000 5.302
Co 0.000 5.302 1.155
Co 0.000 4.148 5.302
Ag 0.000 0.000 0.000
```

## Properties
**Crystal system**: cubic
**Calculated density**: 8.87 Mg/m³
**DFT total energy**: -5.037 eV/atom